# 1
CaTa3C | GGA-PBE | optimized geometry

POSCAR file:
```
CaTa3C
1.0
4.449 0.000 0.000
0.000 4.449 0.000
0.000 0.000 4.449
C Ta Ca
1 3 1
Cartesian
0.000 0.000 0.000
0.000 2.225 0.000
2.225 0.000 0.000
0.000 0.000 2.225
2.225 2.225 2.225
```

Calculated values
**ΔE_f**: 299 meV per atom
**M_tot**: 0.0 μB per cell
**Symmetry**: No. 221

---

# 2
MgNiHRu2 | GGA-PBE | optimized geometry

POSCAR file:
```
MgNiHRu2
1.0
3.853 0.000 0.000
0.000 3.853 0.000
0.000 0.000 3.903
Ru Ni Mg H
2 1 1 1
Cartesian
1.926 0.000 0.000
0.000 1.926 0.000
0.000 0.000 1.951
1.926 1.926 1.951
0.000 0.000 0.000
```

Calculated values
**M_tot**: 0.0 μB per cell
**Symmetry**: No. 123
**Uncorrected energy**: -5.7536 eV per atom

---

# 3
Al3TeSe | GGA-PBE | optimized geometry

POSCAR file:
```
Al3TeSe
1.0
5.124 0.000 0.000
0.000 5.124 0.000
0.000 0.000 5.124
Al Te Se
3 1 1
Cartesian
2.562 0.000 0.000
0.000 2.562 0.000
0.000 0.000 2.562
2.562 2.562 2.562
0.000 0.000 0.000
```

Calculated values
**M_tot**: 0.0 μB per cell
**Symmetry**: No. 221
**Uncorrected energy**: -3.1637 eV per atom

---

# 4
Pm2FeI | GGA-PBE | optimized geometry

POSCAR file:
```
Pm2FeI
1.0
4.015 0.000 0.000
2.007 3.477 0.000
2.007 1.159 8.219
I Pm Fe
1 2 1
Cartesian
4.015 2.318 4.109
2.007 1.159 1.552
6.022 3.477 6.667
0.000 0.000 0.000
```

Calculated values
**M_tot**: 0.8 μB per cell
**Symmetry**: No. 166
**Uncorrected energy**: -5.2043 eV per atom

---

# 5
CrHg3Pb | GGA-PBE | optimized geometry

POSCAR file:
```
CrHg3Pb
1.0
-2.781 -4.363 0.956
4.320 -2.913 -0.728
1.133 0.400 5.122
Hg Pb Cr
3 1 1
Cartesian
2.160 -1.457 -0.364
-1.391 -2.181 0.478
0.567 0.200 2.561
1.336 -3.438 2.675
0.000 0.000 0.000
```

Calculated values
**ΔE_f**: 467 meV per atom
**M_tot**: 3.6 μB per cell
**Symmetry**: No. 221

---

# 6
K2LaTl | GGA-PBE | optimized geometry

POSCAR file:
```
K2LaTl
1.0
13.749 -0.012 -0.007
13.225 3.758 -0.007
13.225 1.837 3.279
La K Tl
1 2 1
Cartesian
10.050 1.396 0.816
0.312 0.043 0.025
19.788 2.748 1.607
30.149 4.188 2.449
```

Calculated values
**ΔE_f**: 210 meV per atom
**M_tot**: 0.0 μB per cell
**Symmetry**: No. 166

---

# 7
Ca2AcZn2 | GGA-PBE | optimized geometry

POSCAR file:
```
Ca2AcZn2
1.0
-3.593 -0.402 2.418
-1.341 -4.636 -2.764
6.961 -5.417 9.444
Ac Ca Zn
2 4 4
Cartesian
2.136 -5.903 8.061
-0.109 -4.552 1.037
-0.260 -6.442 4.410
-2.123 -1.545 2.457
4.150 -8.910 6.641
2.287 -4.013 4.687
-3.375 -3.237 0.314
5.402 -7.218 8.783
2.604 -7.415 4.592
-0.577 -3.040 4.505
```

Calculated values
**ΔE_f**: -110 meV per atom
**M_tot**: 0.0 μB per cell
**Symmetry**: No. 11

---

# 8
SmDyTl | GGA-PBE | optimized geometry

POSCAR file:
```
SmDyTl
1.0
-3.474 0.787 0.710
-1.024 -1.861 -2.946
1.731 -5.164 4.899
Tl Sm Dy
1 1 1
Cartesian
-2.718 -5.700 2.306
-0.303 -3.333 2.211
-2.357 -1.733 -0.325
```

Calculated values
**ΔE_f**: -223 meV per atom
**M_tot**: 0.0 μB per cell
**Symmetry**: No. 107

---

# 9
ThTl2Cu | GGA-PBE | optimized geometry

POSCAR file:
```
ThTl2Cu
1.0
5.360 0.000 0.000
2.680 4.642 0.000
2.680 1.547 4.040
Th Tl Cu
1 2 1
Cartesian
5.360 3.094 2.020
2.680 1.547 1.143
8.040 4.642 2.897
0.000 0.000 0.000
```

Calculated values
**ΔE_f**: 152 meV per atom
**M_tot**: 0.0 μB per cell
**Symmetry**: No. 166

---

# 10
Ba2SbBr | GGA-PBE | optimized geometry

POSCAR file:
```
Ba2SbBr
1.0
-7.656 -0.371 -2.593
5.987 -3.097 4.476
1.009 5.392 5.949
Ba Sb Br
2 1 1
Cartesian
1.653 0.542 2.463
5.343 1.752 7.962
3.498 1.147 5.213
0.000 0.000 0.000
```

Calculated values
**M_tot**: 0.0 μB per cell
**Symmetry**: No. 71
**Uncorrected energy**: -2.7977 eV per atom

---

# 11
RbTmBi2 | GGA-PBE | optimized geometry

POSCAR file:
```
RbTmBi2
1.0
-0.241 -1.862 3.195
-0.217 -3.190 -1.875
9.821 -0.823 0.262
Bi Tm Rb
2 1 1
Cartesian
2.072 -0.174 0.055
7.749 -0.649 0.207
-0.229 -2.526 0.660
4.682 -2.937 0.791
```

Calculated values
**ΔE_f**: -468 meV per atom
**M_tot**: 0.0 μB per cell
**Symmetry**: No. 123

---

# 12
GaRuSe2 | GGA-PBE | optimized geometry

POSCAR file:
```
GaRuSe2
1.0
-7.387 -2.032 2.650
-6.559 1.014 4.655
-7.902 1.369 1.183
Ru Se Ga
1 2 1
Cartesian
-10.924 0.175 4.244
-19.376 0.311 7.527
-2.472 0.040 0.960
0.000 0.000 0.000
```

Calculated values
**M_tot**: 0.0 μB per cell
**Symmetry**: No. 166
**Uncorrected energy**: -4.8481 eV per atom

---

# 13
TaAlFe2 | GGA-PBE | optimized geometry

POSCAR file:
```
TaAlFe2
1.0
4.967 0.014 0.053
4.004 2.939 0.053
1.606 0.529 3.663
Fe Al Ta
2 1 1
Cartesian
7.919 2.607 2.837
1.616 0.532 3.654
2.715 0.894 0.912
5.223 1.719 1.913
```

Calculated values
**ΔE_f**: -192 meV per atom
**M_tot**: 1.2 μB per cell
**Symmetry**: No. 8

---

# 14
CsRb2AgAu | GGA-PBE | optimized geometry

POSCAR file:
```
CsRb2AgAu
1.0
-1.966 -4.425 4.501
5.806 -3.119 -0.530
2.566 3.929 4.983
Au Cs Rb Ag
1 1 2 1
Cartesian
0.000 0.000 0.000
1.283 1.965 2.492
-0.983 -2.213 2.251
2.903 -1.559 -0.265
3.203 -1.807 4.477
```

Calculated values
**ΔE_f**: 20 meV per atom
**M_tot**: 0.0 μB per cell
**Symmetry**: No. 123

---

# 15
LuNiAu | GGA-PBE | optimized geometry

POSCAR file:
```
LuNiAu
1.0
-0.538 2.675 -2.105
-4.188 0.113 1.213
2.969 2.323 2.193
Ni Au Lu
1 1 1
Cartesian
0.494 2.032 1.516
-0.090 0.446 -0.351
-2.161 2.633 0.136
```

Calculated values
**ΔE_f**: -544 meV per atom
**M_tot**: 0.0 μB per cell
**Symmetry**: No. 187

---

# 16
KTl2BiPd2 | GGA-PBE | optimized geometry

POSCAR file:
```
KTl2BiPd2
1.0
5.242 0.000 0.000
0.000 5.242 0.000
0.000 0.000 6.921
Tl Pd Bi K
2 2 1 1
Cartesian
2.621 2.621 5.246
2.621 2.621 1.675
0.000 2.621 0.000
2.621 0.000 0.000
0.000 0.000 0.000
0.000 0.000 3.461
```

Calculated values
**ΔE_f**: -94 meV per atom
**M_tot**: 0.0 μB per cell
**Symmetry**: No. 123

---

# 17
K2CeErTe4 | GGA-PBE | optimized geometry

POSCAR file:
```
K2CeErTe4
1.0
4.565 0.000 0.000
0.000 7.913 0.140
0.000 -2.774 8.182
Er Te K Ce
1 4 2 1
Cartesian
2.282 3.956 0.070
0.000 -0.035 6.518
2.282 1.364 1.772
2.282 3.774 6.551
0.000 5.173 1.804
2.282 -1.387 4.091
0.000 2.569 4.161
0.000 0.000 0.000
```

Calculated values
**M_tot**: 1.0 μB per cell
**Symmetry**: No. 10
**Uncorrected energy**: -4.5157 eV per atom

---

# 18
RbNa9Hg2 | GGA-PBE | optimized geometry

POSCAR file:
```
RbNa9Hg2
1.0
4.072 0.000 0.000
0.000 11.236 0.000
0.000 -5.618 9.730
Na Hg Rb
9 2 1
Cartesian
2.036 2.182 7.747
2.036 0.000 3.967
0.000 5.618 0.000
2.036 5.618 5.763
2.036 7.800 1.984
2.036 3.436 1.984
0.000 -2.809 4.865
2.036 -2.182 7.747
0.000 2.809 4.865
0.000 5.618 3.243
0.000 0.000 6.487
0.000 0.000 0.000
```

Calculated values
**ΔE_f**: -78 meV per atom
**M_tot**: 0.0 μB per cell
**Symmetry**: No. 191

---

# 19
CaFeS2 | GGA-PBE | optimized geometry

POSCAR file:
```
CaFeS2
1.0
0.000 3.286 3.286
3.286 0.000 3.286
3.286 3.286 0.000
S Fe Ca
2 1 1
Cartesian
4.929 4.929 4.929
1.643 1.643 1.643
3.286 3.286 3.286
0.000 0.000 0.000
```

Calculated values
**M_tot**: 3.7 μB per cell
**Symmetry**: No. 225
**Uncorrected energy**: -5.3073 eV per atom

---

# 20
NaZr2C | GGA-PBE | optimized geometry

POSCAR file:
```
NaZr2C
1.0
7.343 0.000 0.000
0.000 7.343 0.000
3.672 3.672 3.047
C Zr Na
2 4 2
Cartesian
3.672 7.343 1.524
3.672 3.672 0.000
4.668 1.836 0.762
5.507 6.346 2.285
2.675 5.507 0.762
9.179 8.340 2.285
7.343 3.672 1.524
0.000 0.000 0.000
```

Calculated values
**ΔE_f**: 403 meV per atom
**M_tot**: 0.0 μB per cell
**Symmetry**: No. 122